! CsCd3In3 GGA-PBE relaxed; values from VASP
! - Formation enthalpy at 0 K: 0.041 eV per atom
! - Crystal system: monoclinic
&SYSTEM
  ibrav = 0, nat = 14, ntyp = 3
/
ATOMIC_SPECIES
In 114.82 In.upf
Cd 112.41 Cd.upf
Cs 132.91 Cs.upf
CELL_PARAMETERS angstrom
3.692 0.000 0.000
0.000 10.284 -5.871
0.000 -0.051 11.850
ATOMIC_POSITIONS crystal
In 0.250 0.099 0.254
In 0.750 0.901 0.746
In 0.250 0.745 0.844
In 0.750 0.255 0.156
In 0.250 0.155 0.901
In 0.750 0.845 0.099
Cd 0.750 0.404 0.010
Cd 0.750 0.991 0.395
Cd 0.750 0.606 0.596
Cd 0.250 0.009 0.605
Cd 0.250 0.394 0.404
Cd 0.250 0.596 0.990
Cs 0.250 0.666 0.333
Cs 0.750 0.334 0.667